# 1
{
  "formula": "SmH2Pd",
  "functional": "PBE-GGA",
  "state": "relaxed",
  "magmom_total_mub_per_cell": 0.0,
  "de_polymorph_mev_per_atom": 42,
  "space_group": "P2_1/c (14)",
  "lattice": [[5.754, 0.000, 0.000], [0.000, 6.552, 0.000], [-0.914, 0.000, 5.467]],
  "species": ["Sm", "Sm", "Sm", "Sm", "H", "H", "H", "H", "H", "H", "H", "H", "Pd", "Pd", "Pd", "Pd"],
  "fractional_positions": [[0.219, 0.088, 0.351], [0.219, 0.412, 0.851], [0.781, 0.588, 0.149], [0.781, 0.912, 0.649], [0.044, 0.732, 0.909], [0.044, 0.768, 0.409], [0.500, 0.158, 0.760], [0.500, 0.342, 0.260], [0.500, 0.658, 0.740], [0.500, 0.842, 0.240], [0.956, 0.232, 0.591], [0.956, 0.268, 0.091], [0.332, 0.646, 0.407], [0.332, 0.854, 0.907], [0.668, 0.146, 0.093], [0.668, 0.354, 0.593]]
}



# 2
{
  "formula": "SmH12Pd7",
  "functional": "PBE-GGA",
  "state": "relaxed",
  "magmom_total_mub_per_cell": 0.0,
  "final_energy_ev_per_atom": -4.231,
  "space_group": "Im-3 (204)",
  "lattice": [[-3.527, 3.527, 3.527], [3.527, -3.527, 3.527], [3.527, 3.527, -3.527]],
  "species": ["Sm", "H", "H", "H", "H", "H", "H", "H", "H", "H", "H", "H", "H", "Pd", "Pd", "Pd", "Pd", "Pd", "Pd", "Pd"],
  "fractional_positions": [[0.000, 0.000, 0.000], [0.133, 0.824, 0.310], [0.176, 0.310, 0.486], [0.176, 0.690, 0.867], [0.310, 0.133, 0.824], [0.310, 0.486, 0.176], [0.486, 0.176, 0.310], [0.514, 0.824, 0.690], [0.690, 0.514, 0.824], [0.690, 0.867, 0.176], [0.824, 0.310, 0.133], [0.824, 0.690, 0.514], [0.867, 0.176, 0.690], [0.000, 0.000, 0.500], [0.000, 0.500, 0.000], [0.000, 0.500, 0.500], [0.500, 0.000, 0.000], [0.500, 0.000, 0.500], [0.500, 0.500, 0.000], [0.500, 0.500, 0.500]]
}



# 3
{
  "formula": "Sm2HPd",
  "functional": "PBE-GGA",
  "state": "relaxed",
  "magmom_total_mub_per_cell": 0.0,
  "de_polymorph_mev_per_atom": 288,
  "space_group": "R-3m (166)",
  "lattice": [[1.694, 0.978, 8.398], [-1.694, 0.978, 8.398], [0.000, -1.956, 8.398]],
  "species": ["Sm", "Sm", "H", "Pd"],
  "fractional_positions": [[0.106, 0.106, 0.106], [0.894, 0.894, 0.894], [0.500, 0.500, 0.500], [0.000, 0.000, 0.000]]
}



# 4
{
  "formula": "SmH2Pd",
  "functional": "PBE-GGA",
  "state": "relaxed",
  "magmom_total_mub_per_cell": 0.0,
  "de_polymorph_mev_per_atom": 0,
  "space_group": "R-3m (166)",
  "lattice": [[2.046, 1.181, 3.978], [-2.046, 1.181, 3.978], [0.000, -2.362, 3.978]],
  "species": ["Sm", "H", "H", "Pd"],
  "fractional_positions": [[0.000, 0.000, 0.000], [0.358, 0.358, 0.358], [0.642, 0.642, 0.642], [0.500, 0.500, 0.500]]
}



# 5
{
  "formula": "SmHPd3",
  "functional": "PBE-GGA",
  "state": "relaxed",
  "magmom_total_mub_per_cell": 0.0,
  "final_energy_ev_per_atom": -5.371,
  "space_group": "Pm-3m (221)",
  "lattice": [[4.210, 0.000, 0.000], [0.000, 4.210, 0.000], [0.000, 0.000, 4.210]],
  "species": ["Sm", "H", "Pd", "Pd", "Pd"],
  "fractional_positions": [[0.000, 0.000, 0.000], [0.500, 0.500, 0.500], [0.000, 0.500, 0.500], [0.500, 0.000, 0.500], [0.500, 0.500, 0.000]]
}



# 6
{
  "formula": "SmH3Pd4",
  "functional": "PBE-GGA",
  "state": "relaxed",
  "magmom_total_mub_per_cell": 0.0,
  "final_energy_ev_per_atom": -4.878,
  "space_group": "Cc (9)",
  "lattice": [[5.082, -2.646, 0.000], [5.082, 2.646, 0.000], [-2.901, 0.000, 7.331]],
  "species": ["Sm", "Sm", "H", "H", "H", "H", "H", "H", "Pd", "Pd", "Pd", "Pd", "Pd", "Pd", "Pd", "Pd"],
  "fractional_positions": [[0.161, 0.839, 0.500], [0.839, 0.161, 0.000], [0.165, 0.241, 0.750], [0.241, 0.165, 0.250], [0.361, 0.484, 0.129], [0.484, 0.361, 0.629], [0.747, 0.831, 0.260], [0.831, 0.747, 0.760], [0.005, 0.375, 0.406], [0.239, 0.542, 0.798], [0.375, 0.005, 0.906], [0.455, 0.754, 0.202], [0.542, 0.239, 0.298], [0.634, 0.969, 0.590], [0.754, 0.455, 0.702], [0.969, 0.634, 0.090]]
}



# 7
{
  "formula": "SmH7Pd2",
  "functional": "PBE-GGA",
  "state": "relaxed",
  "magmom_total_mub_per_cell": 0.0,
  "final_energy_ev_per_atom": -4.019,
  "space_group": "Cmmm (65)",
  "lattice": [[2.470, -4.939, 0.000], [2.470, 4.939, 0.000], [0.000, 0.000, 3.573]],
  "species": ["Sm", "H", "H", "H", "H", "H", "H", "H", "Pd", "Pd"],
  "fractional_positions": [[0.000, 0.000, 0.000], [0.020, 0.294, 0.500], [0.294, 0.020, 0.500], [0.342, 0.658, 0.000], [0.500, 0.500, 0.500], [0.658, 0.342, 0.000], [0.706, 0.980, 0.500], [0.980, 0.706, 0.500], [0.325, 0.675, 0.500], [0.675, 0.325, 0.500]]
}



# 8
{
  "formula": "SmH7Pd12",
  "functional": "PBE-GGA",
  "state": "relaxed",
  "magmom_total_mub_per_cell": 0.0,
  "final_energy_ev_per_atom": -4.724,
  "space_group": "R-3 (148)",
  "lattice": [[5.276, 3.046, 2.388], [-5.276, 3.046, 2.388], [0.000, -6.092, 2.388]],
  "species": ["Sm", "H", "H", "H", "H", "H", "H", "H", "Pd", "Pd", "Pd", "Pd", "Pd", "Pd", "Pd", "Pd", "Pd", "Pd", "Pd", "Pd"],
  "fractional_positions": [[0.000, 0.000, 0.000], [0.100, 0.175, 0.426], [0.175, 0.426, 0.100], [0.426, 0.100, 0.175], [0.500, 0.500, 0.500], [0.574, 0.900, 0.825], [0.825, 0.574, 0.900], [0.900, 0.825, 0.574], [0.071, 0.238, 0.696], [0.156, 0.467, 0.389], [0.238, 0.696, 0.071], [0.304, 0.929, 0.762], [0.389, 0.156, 0.467], [0.467, 0.389, 0.156], [0.533, 0.611, 0.844], [0.611, 0.844, 0.533], [0.696, 0.071, 0.238], [0.762, 0.304, 0.929], [0.844, 0.533, 0.611], [0.929, 0.762, 0.304]]
}



# 9
{
  "formula": "SmHPd",
  "functional": "PBE-GGA",
  "state": "relaxed",
  "magmom_total_mub_per_cell": 0.0,
  "de_polymorph_mev_per_atom": 0,
  "space_group": "P2_1/m (11)",
  "lattice": [[3.826, 0.000, 0.000], [0.000, 4.323, 0.000], [-1.902, 0.000, 5.888]],
  "species": ["Sm", "Sm", "H", "H", "Pd", "Pd"],
  "fractional_positions": [[0.149, 0.250, 0.297], [0.851, 0.750, 0.703], [0.237, 0.750, 0.471], [0.763, 0.250, 0.529], [0.429, 0.250, 0.860], [0.571, 0.750, 0.140]]
}



# 10
{
  "formula": "SmH4Pd6",
  "functional": "PBE-GGA",
  "state": "relaxed",
  "magmom_total_mub_per_cell": 0.0,
  "final_energy_ev_per_atom": -4.830,
  "space_group": "P1 (1)",
  "lattice": [[5.110, 0.000, 0.000], [-0.974, 5.042, 0.000], [-0.691, -1.011, 5.113]],
  "species": ["Sm", "H", "H", "H", "H", "Pd", "Pd", "Pd", "Pd", "Pd", "Pd"],
  "fractional_positions": [[0.000, 0.000, 0.000], [0.058, 0.509, 0.857], [0.186, 0.942, 0.454], [0.523, 0.508, 0.445], [0.532, 0.109, 0.972], [0.146, 0.283, 0.575], [0.310, 0.579, 0.148], [0.425, 0.829, 0.697], [0.582, 0.147, 0.318], [0.695, 0.417, 0.850], [0.864, 0.698, 0.424]]
}



# 11
{
  "formula": "SmHPd6",
  "functional": "PBE-GGA",
  "state": "relaxed",
  "magmom_total_mub_per_cell": 0.0,
  "final_energy_ev_per_atom": -5.186,
  "space_group": "R-3m (166)",
  "lattice": [[2.771, 1.600, 4.900], [-2.771, 1.600, 4.900], [0.000, -3.200, 4.900]],
  "species": ["Sm", "H", "Pd", "Pd", "Pd", "Pd", "Pd", "Pd"],
  "fractional_positions": [[0.000, 0.000, 0.000], [0.500, 0.500, 0.500], [0.083, 0.595, 0.595], [0.405, 0.405, 0.917], [0.405, 0.917, 0.405], [0.595, 0.083, 0.595], [0.595, 0.595, 0.083], [0.917, 0.405, 0.405]]
}



# 12
{
  "formula": "SmHPd",
  "functional": "PBE-GGA",
  "state": "relaxed",
  "magmom_total_mub_per_cell": 0.0,
  "de_polymorph_mev_per_atom": 303,
  "space_group": "P3m1 (156)",
  "lattice": [[4.039, 0.000, 0.000], [-2.020, 3.498, 0.000], [0.000, 0.000, 3.590]],
  "species": ["Sm", "H", "Pd"],
  "fractional_positions": [[0.000, 0.000, 0.000], [0.333, 0.667, 0.502], [0.667, 0.333, 0.500]]
}



# 13
{
  "formula": "SmH5Pd4",
  "functional": "PBE-GGA",
  "state": "relaxed",
  "magmom_total_mub_per_cell": 0.0,
  "final_energy_ev_per_atom": -4.469,
  "space_group": "Pmmn (59)",
  "lattice": [[5.598, 0.000, 0.000], [0.000, 7.891, 0.000], [0.000, 0.000, 5.161]],
  "species": ["Sm", "Sm", "H", "H", "H", "H", "H", "H", "H", "H", "H", "H", "Pd", "Pd", "Pd", "Pd", "Pd", "Pd", "Pd", "Pd"],
  "fractional_positions": [[0.250, 0.250, 0.181], [0.750, 0.750, 0.819], [0.019, 0.579, 0.140], [0.019, 0.921, 0.140], [0.250, 0.750, 0.628], [0.481, 0.579, 0.140], [0.481, 0.921, 0.140], [0.519, 0.079, 0.860], [0.519, 0.421, 0.860], [0.750, 0.250, 0.372], [0.981, 0.079, 0.860], [0.981, 0.421, 0.860], [0.013, 0.750, 0.357], [0.250, 0.562, 0.854], [0.250, 0.938, 0.854], [0.487, 0.750, 0.357], [0.513, 0.250, 0.643], [0.750, 0.062, 0.146], [0.750, 0.438, 0.146], [0.987, 0.250, 0.643]]
}



# 14
{
  "formula": "SmH3Pd3",
  "functional": "PBE-GGA",
  "state": "relaxed",
  "magmom_total_mub_per_cell": 0.0,
  "de_polymorph_mev_per_atom": 96,
  "space_group": "R-3m (166)",
  "lattice": [[3.218, 1.858, 4.685], [-3.218, 1.858, 4.685], [0.000, -3.716, 4.685]],
  "species": ["Sm", "Sm", "H", "H", "H", "H", "H", "H", "Pd", "Pd", "Pd", "Pd", "Pd", "Pd"],
  "fractional_positions": [[0.233, 0.233, 0.233], [0.767, 0.767, 0.767], [0.049, 0.049, 0.689], [0.049, 0.689, 0.049], [0.311, 0.951, 0.951], [0.689, 0.049, 0.049], [0.951, 0.311, 0.951], [0.951, 0.951, 0.311], [0.268, 0.268, 0.704], [0.268, 0.704, 0.268], [0.296, 0.732, 0.732], [0.704, 0.268, 0.268], [0.732, 0.296, 0.732], [0.732, 0.732, 0.296]]
}



# 15
{
  "formula": "Sm2SnHPd6",
  "functional": "PBE-GGA",
  "state": "relaxed",
  "magmom_total_mub_per_cell": 0.0,
  "final_energy_ev_per_atom": -5.452,
  "space_group": "P-1 (2)",
  "lattice": [[5.753, 0.000, 0.000], [2.872, 5.000, 0.000], [2.861, 1.575, 6.327]],
  "species": ["Sm", "Sm", "Sn", "H", "Pd", "Pd", "Pd", "Pd", "Pd", "Pd"],
  "fractional_positions": [[0.229, 0.242, 0.307], [0.771, 0.758, 0.693], [0.500, 0.500, 0.500], [0.000, 0.000, 0.000], [0.223, 0.710, 0.835], [0.230, 0.213, 0.809], [0.267, 0.789, 0.182], [0.733, 0.211, 0.818], [0.770, 0.787, 0.191], [0.777, 0.290, 0.165]]
}



# 16
{
  "formula": "SmSnHPd2",
  "functional": "PBE-GGA",
  "state": "relaxed",
  "magmom_total_mub_per_cell": 0.0,
  "final_energy_ev_per_atom": -5.181,
  "space_group": "Cmcm (63)",
  "lattice": [[1.931, -6.021, 0.000], [1.931, 6.021, 0.000], [0.000, 0.000, 7.632]],
  "species": ["Sm", "Sm", "Sn", "Sn", "H", "H", "Pd", "Pd", "Pd", "Pd"],
  "fractional_positions": [[0.037, 0.963, 0.750], [0.963, 0.037, 0.250], [0.240, 0.760, 0.250], [0.760, 0.240, 0.750], [0.500, 0.500, 0.000], [0.500, 0.500, 0.500], [0.359, 0.641, 0.556], [0.359, 0.641, 0.944], [0.641, 0.359, 0.056], [0.641, 0.359, 0.444]]
}



# 17
{
  "formula": "SmZnHPd2",
  "functional": "PBE-GGA",
  "state": "relaxed",
  "magmom_total_mub_per_cell": 0.0,
  "final_energy_ev_per_atom": -4.576,
  "space_group": "Cmcm (63)",
  "lattice": [[1.939, -5.457, 0.000], [1.939, 5.457, 0.000], [0.000, 0.000, 7.520]],
  "species": ["Sm", "Sm", "Zn", "Zn", "H", "H", "Pd", "Pd", "Pd", "Pd"],
  "fractional_positions": [[0.051, 0.949, 0.750], [0.949, 0.051, 0.250], [0.230, 0.770, 0.250], [0.770, 0.230, 0.750], [0.500, 0.500, 0.000], [0.500, 0.500, 0.500], [0.346, 0.654, 0.553], [0.346, 0.654, 0.947], [0.654, 0.346, 0.053], [0.654, 0.346, 0.447]]
}



# 18
{
  "formula": "Sm2ZnHPd6",
  "functional": "PBE-GGA",
  "state": "relaxed",
  "magmom_total_mub_per_cell": 0.0,
  "final_energy_ev_per_atom": -5.178,
  "space_group": "P-1 (2)",
  "lattice": [[5.737, 0.000, 0.000], [2.855, 4.988, 0.000], [2.829, 1.678, 6.003]],
  "species": ["Sm", "Sm", "Zn", "H", "Pd", "Pd", "Pd", "Pd", "Pd", "Pd"],
  "fractional_positions": [[0.227, 0.229, 0.320], [0.773, 0.771, 0.680], [0.500, 0.500, 0.500], [0.000, 0.000, 0.000], [0.228, 0.727, 0.814], [0.230, 0.227, 0.808], [0.268, 0.775, 0.189], [0.732, 0.225, 0.811], [0.770, 0.773, 0.192], [0.772, 0.273, 0.186]]
}



# 19
{
  "formula": "SnH6Pd12",
  "functional": "PBE-GGA",
  "state": "relaxed",
  "magmom_total_mub_per_cell": 0.0,
  "final_energy_ev_per_atom": -4.479,
  "space_group": "R-3m (166)",
  "lattice": [[5.138, 2.967, 2.727], [-5.138, 2.967, 2.727], [0.000, -5.933, 2.727]],
  "species": ["Sn", "H", "H", "H", "H", "H", "H", "Pd", "Pd", "Pd", "Pd", "Pd", "Pd", "Pd", "Pd", "Pd", "Pd", "Pd", "Pd"],
  "fractional_positions": [[0.000, 0.000, 0.000], [0.155, 0.155, 0.493], [0.155, 0.493, 0.155], [0.493, 0.155, 0.155], [0.507, 0.845, 0.845], [0.845, 0.507, 0.845], [0.845, 0.845, 0.507], [0.132, 0.500, 0.868], [0.132, 0.868, 0.500], [0.184, 0.453, 0.453], [0.453, 0.184, 0.453], [0.453, 0.453, 0.184], [0.500, 0.132, 0.868], [0.500, 0.868, 0.132], [0.547, 0.547, 0.816], [0.547, 0.816, 0.547], [0.816, 0.547, 0.547], [0.868, 0.132, 0.500], [0.868, 0.500, 0.132]]
}



# 20
{
  "formula": "SnH2Pd",
  "functional": "PBE-GGA",
  "state": "relaxed",
  "magmom_total_mub_per_cell": 0.0,
  "de_polymorph_mev_per_atom": 480,
  "space_group": "Fm-3m (225)",
  "lattice": [[0.000, 2.889, 2.889], [2.889, 0.000, 2.889], [2.889, 2.889, 0.000]],
  "species": ["Sn", "H", "H", "Pd"],
  "fractional_positions": [[0.000, 0.000, 0.000], [0.250, 0.250, 0.250], [0.750, 0.750, 0.750], [0.500, 0.500, 0.500]]
}



# 21
{
  "formula": "Sn3H2Pd9",
  "functional": "PBE-GGA",
  "state": "relaxed",
  "magmom_total_mub_per_cell": 0.0,
  "final_energy_ev_per_atom": -5.109,
  "space_group": "P6_3/mmc (194)",
  "lattice": [[5.730, 0.000, 0.000], [-2.865, 4.962, 0.000], [0.000, 0.000, 14.283]],
  "species": ["Sn", "Sn", "Sn", "Sn", "Sn", "Sn", "H", "H", "H", "H", "Pd", "Pd", "Pd", "Pd", "Pd", "Pd", "Pd", "Pd", "Pd", "Pd", "Pd", "Pd", "Pd", "Pd", "Pd", "Pd", "Pd", "Pd"],
  "fractional_positions": [[0.000, 0.000, 0.250], [0.000, 0.000, 0.750], [0.333, 0.667, 0.087], [0.333, 0.667, 0.413], [0.667, 0.333, 0.587], [0.667, 0.333, 0.913], [0.333, 0.667, 0.648], [0.333, 0.667, 0.852], [0.667, 0.333, 0.148], [0.667, 0.333, 0.352], [0.001, 0.501, 0.250], [0.166, 0.332, 0.582], [0.166, 0.332, 0.918], [0.166, 0.834, 0.582], [0.166, 0.834, 0.918], [0.332, 0.166, 0.082], [0.332, 0.166, 0.418], [0.499, 0.501, 0.250], [0.499, 0.999, 0.250], [0.501, 0.001, 0.750], [0.501, 0.499, 0.750], [0.668, 0.834, 0.582], [0.668, 0.834, 0.918], [0.834, 0.166, 0.082], [0.834, 0.166, 0.418], [0.834, 0.668, 0.082], [0.834, 0.668, 0.418], [0.999, 0.499, 0.750]]
}